1.
Computed, not measured: an optimized crystal structure of Tb6Cd3In at the GGA-PBE level of DFT.

Values from the calculation:
**Energy of formation**: -0.257 eV per atom
**SG**: P2_1/m (11)

a = 9.387 Å, b = 5.293 Å, c = 11.657 Å
α = 90.00°, β = 107.03°, γ = 90.00°
Element x y z (fractional)
Tb  0.039  0.250  0.411
Tb  0.154  0.750  0.176
Tb  0.249  0.250  0.000
Tb  0.336  0.750  0.806
Tb  0.370  0.250  0.335
Tb  0.399  0.250  0.619
Tb  0.601  0.750  0.381
Tb  0.630  0.750  0.665
Tb  0.664  0.250  0.194
Tb  0.751  0.750  0.000
Tb  0.846  0.250  0.824
Tb  0.961  0.750  0.589
Cd  0.029  0.750  0.878
Cd  0.116  0.250  0.716
Cd  0.273  0.750  0.473
Cd  0.727  0.250  0.527
Cd  0.884  0.750  0.284
Cd  0.971  0.250  0.122
In  0.454  0.750  0.103
In  0.546  0.250  0.897

=====

2.
Computed, not measured: an optimized crystal structure of Tb3Cd2In3 at the GGA-PBE level of DFT.

Values from the calculation:
**Energy of formation**: -0.384 eV per atom
**SG**: Cmcm (63)

a = 6.191 Å, b = 6.191 Å, c = 15.515 Å
α = 90.00°, β = 90.00°, γ = 134.92°
Element x y z (fractional)
Tb  0.078  0.922  0.613
Tb  0.078  0.922  0.887
Tb  0.342  0.658  0.750
Tb  0.658  0.342  0.250
Tb  0.922  0.078  0.113
Tb  0.922  0.078  0.387
Cd  0.217  0.783  0.103
Cd  0.217  0.783  0.397
Cd  0.783  0.217  0.603
Cd  0.783  0.217  0.897
In  0.376  0.624  0.250
In  0.391  0.609  0.545
In  0.391  0.609  0.955
In  0.609  0.391  0.045
In  0.609  0.391  0.455
In  0.624  0.376  0.750

=====

3.
Computed, not measured: an optimized crystal structure of Tb3Cd4In2 at the GGA-PBE level of DFT.

Values from the calculation:
**Energy of formation**: -0.388 eV per atom
**SG**: C2/m (12)

a = 6.078 Å, b = 6.078 Å, c = 9.323 Å
α = 115.53°, β = 115.53°, γ = 48.02°
Element x y z (fractional)
Tb  0.000  0.000  0.000
Tb  0.334  0.334  0.330
Tb  0.666  0.666  0.670
Cd  0.074  0.074  0.410
Cd  0.293  0.293  0.964
Cd  0.707  0.707  0.036
Cd  0.926  0.926  0.590
In  0.391  0.391  0.726
In  0.609  0.609  0.274

=====

4.
Computed, not measured: an optimized crystal structure of Tb3Cd3In at the GGA-PBE level of DFT.

Values from the calculation:
**Energy of formation**: -0.320 eV per atom
**SG**: Imm2 (44)

a = 10.911 Å, b = 10.911 Å, c = 10.911 Å
α = 161.06°, β = 154.10°, γ = 32.28°
Element x y z (fractional)
Tb  0.000  0.000  0.000
Tb  0.401  0.401  0.000
Tb  0.700  0.200  0.500
Cd  0.131  0.631  0.500
Cd  0.557  0.557  0.000
Cd  0.846  0.846  0.000
In  0.268  0.768  0.500